Record 1
This record from the Open Quantum Materials Database describes a geometry-optimized Al2ZnW structure. The functional is PBE-GGA.

Unit cell a=4.4207 b=4.4207 c=4.4207 alpha=60.00 beta=60.00 gamma=60.00
Atoms (fractional coordinates):
W1 0.5000 0.5000 0.5000
Zn1 0.2500 0.2500 0.2500
Al1 0.7500 0.7500 0.7500
Al2 0.0000 0.0000 0.0000

Results
* theoretical density: 8.242 g cm⁻³
* energy: -5.040 eV/atom

Record 2
This record from the Open Quantum Materials Database describes a geometry-optimized ZrAlW structure. The functional is PBE-GGA.

Unit cell a=4.4128 b=4.4128 c=4.4128 alpha=60.00 beta=60.00 gamma=60.00
Atoms (fractional coordinates):
W1 0.2500 0.2500 0.2500
Zr1 0.7500 0.7500 0.7500
Al1 0.0000 0.0000 0.0000

Results
* E above lowest polymorph: 0.000 eV/atom
* theoretical density: 8.254 g cm⁻³

Record 3
This record from the Open Quantum Materials Database describes a geometry-optimized ZrAlW2 structure. The functional is PBE-GGA.

Unit cell a=4.6054 b=4.6054 c=4.6054 alpha=60.00 beta=60.00 gamma=60.00
Atoms (fractional coordinates):
Zr1 0.2500 0.2500 0.2500
W1 0.0000 0.0000 0.0000
W2 0.7500 0.7500 0.7500
Al1 0.5000 0.5000 0.5000

Results
* theoretical density: 11.682 g cm⁻³
* energy: -9.507 eV/atom

Record 4
This record from the Open Quantum Materials Database describes a geometry-optimized Y2AlZn structure. The functional is PBE-GGA.

Unit cell a=4.7465 b=4.7465 c=11.1293 alpha=90.00 beta=90.00 gamma=120.00
Atoms (fractional coordinates):
Y1 0.3333 0.6667 0.8978
Y2 0.6667 0.3333 0.3978
Y3 0.3333 0.6667 0.6022
Y4 0.6667 0.3333 0.1022
Al1 0.0000 0.0000 0.0000
Al2 0.0000 0.0000 0.5000
Zn1 0.3333 0.6667 0.2500
Zn2 0.6667 0.3333 0.7500

Results
* E above lowest polymorph: 0.500 eV/atom
* theoretical density: 4.133 g cm⁻³

Record 5
This record from the Open Quantum Materials Database describes a geometry-optimized Y2AlZn structure. The functional is PBE-GGA.

Unit cell a=5.0924 b=5.0924 c=5.0924 alpha=60.00 beta=60.00 gamma=60.00
Atoms (fractional coordinates):
Y1 0.7500 0.7500 0.7500
Y2 0.0000 0.0000 0.0000
Al1 0.5000 0.5000 0.5000
Zn1 0.2500 0.2500 0.2500

Results
* E above lowest polymorph: 0.531 eV/atom
* theoretical density: 4.805 g cm⁻³

Record 6
This record from the Open Quantum Materials Database describes a geometry-optimized YAlZn2 structure. The functional is PBE-GGA.

Unit cell a=4.7243 b=4.7243 c=4.7243 alpha=60.00 beta=60.00 gamma=60.00
Atoms (fractional coordinates):
Zn1 0.7500 0.7500 0.7500
Zn2 0.0000 0.0000 0.0000
Al1 0.5000 0.5000 0.5000
Y1 0.2500 0.2500 0.2500

Results
* theoretical density: 5.495 g cm⁻³
* energy: -3.373 eV/atom

Record 7
This record from the Open Quantum Materials Database describes a geometry-optimized Y2AlZn structure. The functional is PBE-GGA.

Unit cell a=4.8071 b=4.8071 c=10.5327 alpha=90.00 beta=90.00 gamma=120.00
Atoms (fractional coordinates):
Y1 0.6667 0.3333 0.4014
Y2 0.6667 0.3333 0.0986
Y3 0.3333 0.6667 0.5986
Y4 0.3333 0.6667 0.9014
Zn1 0.0000 0.0000 0.5000
Zn2 0.0000 0.0000 0.0000
Al1 0.6667 0.3333 0.7500
Al2 0.3333 0.6667 0.2500

Results
* E above lowest polymorph: 0.435 eV/atom
* theoretical density: 4.257 g cm⁻³

Record 8
This record from the Open Quantum Materials Database describes a geometry-optimized Y2AlZn structure. The functional is PBE-GGA.

Unit cell a=7.1836 b=7.1596 c=7.2163 alpha=90.00 beta=90.00 gamma=90.00
Atoms (fractional coordinates):
Al1 0.4991 0.7500 0.5000
Al2 0.0009 0.7500 0.0000
Al3 0.9991 0.2500 0.0000
Al4 0.5009 0.2500 0.5000
Y1 0.7500 0.9993 0.2500
Y2 0.7500 0.5007 0.7500
Y3 0.2500 0.4993 0.2500
Y4 0.2500 0.4993 0.7500
Y5 0.7500 0.9993 0.7500
Y6 0.2500 0.0007 0.2500
Y7 0.7500 0.5007 0.2500
Y8 0.2500 0.0007 0.7500
Zn1 0.0013 0.7500 0.5000
Zn2 0.5013 0.2500 0.0000
Zn3 0.9987 0.2500 0.5000
Zn4 0.4987 0.7500 0.0000

Results
* E above lowest polymorph: 0.005 eV/atom
* theoretical density: 4.836 g cm⁻³

Record 9
This record from the Open Quantum Materials Database describes a geometry-optimized Y2AlZn structure. The functional is PBE-GGA.

Unit cell a=5.0826 b=7.1869 c=15.2460 alpha=90.00 beta=90.00 gamma=90.00
Atoms (fractional coordinates):
Al1 0.9987 0.0000 0.3333
Al2 0.5013 0.5000 0.8333
Al3 0.0000 0.0000 0.0000
Al4 0.4987 0.5000 0.1667
Al5 0.5000 0.5000 0.5000
Al6 0.0013 0.0000 0.6667
Y1 0.5011 0.2502 0.6667
Y2 0.0000 0.7500 0.5000
Y3 0.5000 0.2500 0.0000
Y4 0.5011 0.7498 0.6667
Y5 0.0011 0.2498 0.8333
Y6 0.9989 0.2498 0.1667
Y7 0.4989 0.7498 0.3333
Y8 0.9989 0.7502 0.1667
Y9 0.4989 0.2502 0.3333
Y10 0.0011 0.7502 0.8333
Y11 0.5000 0.7500 0.0000
Y12 0.0000 0.2500 0.5000
Zn1 0.4979 0.0000 0.8333
Zn2 0.0021 0.5000 0.3333
Zn3 0.0000 0.5000 0.0000
Zn4 0.5021 0.0000 0.1667
Zn5 0.5000 0.0000 0.5000
Zn6 0.9979 0.5000 0.6667

Results
* E above lowest polymorph: 0.000 eV/atom
* theoretical density: 4.834 g cm⁻³

Record 10
This record from the Open Quantum Materials Database describes a geometry-optimized Y2AlZn structure. The functional is PBE-GGA.

Unit cell a=4.4187 b=4.4187 c=11.6900 alpha=90.00 beta=90.00 gamma=120.00
Atoms (fractional coordinates):
Y1 0.6667 0.3333 0.8989
Y2 0.3333 0.6667 0.1011
Y3 0.3333 0.6667 0.3989
Y4 0.6667 0.3333 0.6011
Al1 0.0000 0.0000 0.7500
Al2 0.0000 0.0000 0.2500
Zn1 0.3333 0.6667 0.7500
Zn2 0.6667 0.3333 0.2500

Results
* E above lowest polymorph: 0.220 eV/atom
* theoretical density: 4.540 g cm⁻³

Record 11
This record from the Open Quantum Materials Database describes a geometry-optimized YAl2Zn structure. The functional is PBE-GGA.

Unit cell a=4.7842 b=4.7842 c=4.7842 alpha=60.00 beta=60.00 gamma=60.00
Atoms (fractional coordinates):
Al1 0.0000 0.0000 0.0000
Al2 0.2500 0.2500 0.2500
Y1 0.5000 0.5000 0.5000
Zn1 0.7500 0.7500 0.7500

Results
* theoretical density: 4.467 g cm⁻³
* energy: -3.961 eV/atom

Record 12
This record from the Open Quantum Materials Database describes a geometry-optimized Y2AlZn structure. The functional is PBE-GGA.

Unit cell a=3.5661 b=3.5661 c=7.2718 alpha=90.00 beta=90.00 gamma=90.00
Atoms (fractional coordinates):
Y1 0.5000 0.5000 0.2453
Y2 0.5000 0.5000 0.7547
Al1 0.0000 0.0000 0.5000
Zn1 0.0000 0.0000 0.0000

Results
* E above lowest polymorph: 0.000 eV/atom
* theoretical density: 4.852 g cm⁻³

Record 13
This record from the Open Quantum Materials Database describes a geometry-optimized Y2AlZn structure. The functional is PBE-GGA.

Unit cell a=5.0870 b=7.1825 c=15.2611 alpha=90.00 beta=90.00 gamma=90.00
Atoms (fractional coordinates):
Al1 0.5003 0.0000 0.8333
Al2 0.4997 0.0000 0.1667
Al3 0.5000 0.0000 0.5000
Al4 0.9997 0.5000 0.3333
Al5 0.0000 0.5000 0.0000
Al6 0.0003 0.5000 0.6667
Y1 0.0000 0.7500 0.5000
Y2 0.0003 0.2500 0.8333
Y3 0.9997 0.7500 0.1667
Y4 0.9997 0.2500 0.1667
Y5 0.0003 0.7500 0.8333
Y6 0.5003 0.7500 0.6667
Y7 0.4997 0.7500 0.3333
Y8 0.5000 0.2500 0.0000
Y9 0.5003 0.2500 0.6667
Y10 0.5000 0.7500 0.0000
Y11 0.4997 0.2500 0.3333
Y12 0.0000 0.2500 0.5000
Zn1 0.9997 0.0000 0.3334
Zn2 0.0003 0.0000 0.6666
Zn3 0.5000 0.5000 0.5000
Zn4 0.4997 0.5000 0.1666
Zn5 0.5003 0.5000 0.8334
Zn6 0.0000 0.0000 0.0000

Results
* E above lowest polymorph: 0.000 eV/atom
* theoretical density: 4.828 g cm⁻³

Record 14
This record from the Open Quantum Materials Database describes a geometry-optimized YZrAl structure. The functional is PBE-GGA.

Unit cell a=4.8334 b=4.8334 c=4.8334 alpha=60.00 beta=60.00 gamma=60.00
Atoms (fractional coordinates):
Al1 0.0000 0.0000 0.0000
Zr1 0.7500 0.7500 0.7500
Y1 0.2500 0.2500 0.2500

Results
* E above lowest polymorph: 0.000 eV/atom
* theoretical density: 4.307 g cm⁻³

Record 15
This record from the Open Quantum Materials Database describes a geometry-optimized YZr2Al structure. The functional is PBE-GGA.

Unit cell a=5.0573 b=5.0573 c=5.0573 alpha=60.00 beta=60.00 gamma=60.00
Atoms (fractional coordinates):
Al1 0.5000 0.5000 0.5000
Y1 0.2500 0.2500 0.2500
Zr1 0.7500 0.7500 0.7500
Zr2 0.0000 0.0000 0.0000

Results
* theoretical density: 5.416 g cm⁻³
* energy: -6.853 eV/atom

Record 16
This record from the Open Quantum Materials Database describes a geometry-optimized AlZn5 structure. The functional is PBE-GGA.

Unit cell a=4.7370 b=4.7370 c=4.6758 alpha=90.00 beta=90.00 gamma=60.00
Atoms (fractional coordinates):
Zn1 0.0000 0.3355 0.5000
Zn2 0.6645 0.0000 0.5000
Zn3 0.3355 0.6645 0.5000
Zn4 0.3333 0.3333 0.0000
Zn5 0.6667 0.6667 0.0000
Al1 0.0000 0.0000 0.0000

Results
* E above lowest polymorph: 0.000 eV/atom
* theoretical density: 6.470 g cm⁻³

Record 17
This record from the Open Quantum Materials Database describes a geometry-optimized Al3Zn structure. The functional is PBE-GGA.

Unit cell a=4.0195 b=4.0195 c=4.0195 alpha=90.00 beta=90.00 gamma=90.00
Atoms (fractional coordinates):
Zn1 0.0000 0.0000 0.0000
Al1 0.5000 0.0000 0.5000
Al2 0.5000 0.5000 0.0000
Al3 0.0000 0.5000 0.5000

Results
* theoretical density: 3.742 g cm⁻³
* energy: -3.095 eV/atom

Record 18
This record from the Open Quantum Materials Database describes a geometry-optimized AlZn5 structure. The functional is PBE-GGA.

Unit cell a=5.1469 b=5.1469 c=4.2939 alpha=90.00 beta=90.00 gamma=120.00
Atoms (fractional coordinates):
Al1 0.0000 0.0000 0.0000
Zn1 0.3333 0.6667 0.0000
Zn2 0.5000 0.5000 0.5000
Zn3 0.0000 0.5000 0.5000
Zn4 0.6667 0.3333 0.0000
Zn5 0.5000 0.0000 0.5000

Results
* E above lowest polymorph: 0.112 eV/atom
* theoretical density: 5.968 g cm⁻³

Record 19
This record from the Open Quantum Materials Database describes a geometry-optimized Al2Zn structure. The functional is PBE-GGA.

Unit cell a=7.6837 b=7.6837 c=7.6837 alpha=60.00 beta=60.00 gamma=60.00
Atoms (fractional coordinates):
Zn1 0.2500 0.2500 0.2500
Zn2 0.5000 0.5000 0.5000
Al1 0.3750 0.3750 0.3750
Al2 0.8750 0.3750 0.3750
Al3 0.3750 0.8750 0.3750
Al4 0.3750 0.3750 0.8750

Results
* theoretical density: 1.236 g cm⁻³
* energy: -1.895 eV/atom

Record 20
This record from the Open Quantum Materials Database describes a geometry-optimized Al2Zn structure. The functional is PBE-GGA.

Unit cell a=5.3070 b=5.3070 c=5.3070 alpha=60.00 beta=60.00 gamma=60.00
Atoms (fractional coordinates):
Al1 0.6250 0.6250 0.6250
Al2 0.1250 0.6250 0.6250
Al3 0.6250 0.1250 0.6250
Al4 0.6250 0.6250 0.1250
Zn1 0.0000 0.0000 0.0000
Zn2 0.2500 0.2500 0.2500

Results
* theoretical density: 3.751 g cm⁻³
* energy: -2.689 eV/atom